[1]
Pr2Ga4Pd3 | GGA-PBE | optimized geometry

The structure in extended XYZ format:
```
18
Lattice="5.982 0.000 0.000 0.000 7.623 0.000 -2.991 0.000 7.712" Properties=species:S:1:pos:R:3 pbc="T T T"
Ga 0.000 7.478 2.744
Ga 1.496 5.717 6.849
Pr 0.000 4.465 1.776
Ga 0.000 3.667 4.968
Pd 1.496 1.906 3.475
Ga 4.487 1.906 0.863
Pd 4.487 1.906 3.475
Pr 2.991 3.158 5.936
Ga 1.496 1.906 0.863
Pr 0.000 0.654 5.936
Pd 1.496 5.717 4.237
Pd -1.496 5.717 4.237
Ga 2.991 0.145 4.968
Pr 2.991 6.969 1.776
Pd 2.991 3.811 0.000
Ga 2.991 3.956 2.744
Pd 0.000 0.000 0.000
Ga -1.496 5.717 6.849
```

- SG: Cmce (64)
- Formation energy from the elements: -6.70 eV per formula unit
- Size of the total moment: 0.000 Bohr magnetons per cell

[2]
PrGa4Pd3 | GGA-PBE | optimized geometry

The structure in extended XYZ format:
```
8
Lattice="-3.107 -0.590 -3.002 1.289 -4.133 -0.521 -5.144 -2.332 5.781" Properties=species:S:1:pos:R:3 pbc="T T T"
Pd -2.639 -3.146 0.183
Ga -5.794 -2.218 3.265
Ga -3.596 -3.989 4.506
Ga -2.456 -0.705 -0.486
Pd 0.000 0.000 0.000
Ga -0.259 -2.476 0.755
Pd -4.323 -3.910 2.075
Pr -2.572 -1.166 2.891
```

- SG: P4/mmm (123)
- Formation energy from the elements: -5.05 eV per formula unit
- Size of the total moment: 0.000 Bohr magnetons per cell

[3]
PrGaPd | GGA-PBE | optimized geometry

The structure in extended XYZ format:
```
12
Lattice="4.597 0.000 0.000 0.000 7.264 0.000 0.000 0.000 7.740" Properties=species:S:1:pos:R:3 pbc="T T T"
Pr 3.448 0.158 2.342
Pd 3.448 2.122 4.593
Pd 1.149 1.510 0.723
Ga 3.448 4.903 4.480
Pr 1.149 3.474 6.212
Pr 3.448 3.790 1.528
Ga 1.149 5.994 0.610
Pr 1.149 7.106 5.398
Ga 3.448 1.271 7.130
Ga 1.149 2.362 3.260
Pd 3.448 5.754 7.017
Pd 1.149 5.142 3.147
```

- SG: Pnma (62)
- Formation energy from the elements: -2.47 eV per formula unit
- Size of the total moment: 0.000 Bohr magnetons per cell

[4]
Pr2GaPd6 | GGA-PBE | optimized geometry

The structure in extended XYZ format:
```
9
Lattice="5.792 0.000 0.000 -2.896 4.862 1.121 0.000 0.129 6.159" Properties=species:S:1:pos:R:3 pbc="T T T"
Pd 4.289 1.382 4.524
Pd -1.393 3.609 2.756
Pd 2.896 3.753 5.113
Ga 0.000 0.000 0.000
Pr 2.896 1.400 1.344
Pr 0.000 3.591 5.936
Pd 1.393 3.609 2.756
Pd 1.502 1.382 4.524
Pd 0.000 1.238 2.166
```

- SG: C2/m (12)
- Formation energy from the elements: -6.92 eV per formula unit
- Size of the total moment: 0.000 Bohr magnetons per cell

[5]
Pr3Ga2Pd7 | GGA-PBE | optimized geometry

The structure in extended XYZ format:
```
12
Lattice="4.139 0.000 0.000 0.000 4.139 0.000 -2.070 -2.070 14.123" Properties=species:S:1:pos:R:3 pbc="T T T"
Ga 2.070 2.070 10.498
Ga 0.000 0.000 3.625
Pr 2.070 2.070 4.949
Pd 2.070 0.000 11.918
Pd 0.000 0.000 0.000
Pd 0.000 2.070 11.918
Pd 0.000 0.000 6.177
Pd 0.000 2.070 2.205
Pr 2.070 2.070 0.000
Pd 2.070 2.070 7.946
Pr 0.000 0.000 9.174
Pd 2.070 0.000 2.205
```

- SG: I4/mmm (139)
- Formation energy from the elements: -8.85 eV per formula unit
- Size of the total moment: 0.000 Bohr magnetons per cell
- Polymorph energy (0 for the lowest one): 0 meV/atom

[6]
Pr8Ga2Pd | GGA-PBE | optimized geometry

The structure in extended XYZ format:
```
11
Lattice="5.114 0.000 0.000 0.000 6.953 0.349 -2.557 -2.531 9.212" Properties=species:S:1:pos:R:3 pbc="T T T"
Pd 2.557 0.000 0.000
Ga 2.557 0.158 5.863
Pr 0.000 -1.585 6.348
Ga 0.000 4.264 3.697
Pr 0.000 5.280 0.685
Pr 0.000 1.670 7.682
Pr 2.557 2.752 1.879
Pr 2.557 -0.858 8.876
Pr 2.557 3.303 5.610
Pr 0.000 1.120 3.951
Pr 2.557 6.007 3.213
```

- SG: C2/m (12)
- Formation energy from the elements: -3.55 eV per formula unit
- Size of the total moment: 0.000 Bohr magnetons per cell
- Polymorph energy (0 for the lowest one): 0 meV/atom

[7]
PrGa4Pd8 | GGA-PBE | optimized geometry

The structure in extended XYZ format:
```
13
Lattice="5.390 0.000 0.000 2.695 6.301 0.000 2.695 0.000 6.301" Properties=species:S:1:pos:R:3 pbc="T T T"
Pd 5.390 4.162 4.162
Ga 4.042 3.151 0.000
Pd 8.084 4.892 4.892
Pd 2.695 1.409 1.409
Pd 5.390 4.892 1.409
Ga 1.347 3.151 0.000
Pd 2.695 2.139 4.162
Ga 4.042 0.000 3.151
Pd 5.390 2.139 2.139
Pr 0.000 0.000 0.000
Ga 1.347 0.000 3.151
Pd 5.390 1.409 4.892
Pd 2.695 4.162 2.139
```

- SG: I4/mmm (139)
- Formation energy from the elements: -8.50 eV per formula unit
- Size of the total moment: 0.000 Bohr magnetons per cell

[8]
PrGa8Pd2 | GGA-PBE | optimized geometry

The structure in extended XYZ format:
```
11
Lattice="-3.260 1.108 4.493 3.427 -3.115 3.254 4.473 6.608 1.616" Properties=species:S:1:pos:R:3 pbc="T T T"
Pd 1.713 -1.557 1.627
Pr 2.320 2.301 4.681
Ga 3.588 4.747 3.181
Ga 3.673 3.725 7.128
Ga 1.052 -0.146 6.181
Ga 1.927 5.312 5.470
Ga 2.713 -0.711 3.893
Ga -0.693 1.440 4.523
Pd -1.630 0.554 2.246
Ga 5.333 3.161 4.839
Ga 0.967 0.876 2.235
```

- SG: P4/mmm (123)
- Formation energy from the elements: -1.42 eV per formula unit
- Size of the total moment: 0.000 Bohr magnetons per cell

[9]
Pr3Ga8Pd3 | GGA-PBE | optimized geometry

The structure in extended XYZ format:
```
14
Lattice="-4.197 -0.039 -1.151 -0.296 -4.533 -6.995 -2.754 -7.596 2.069" Properties=species:S:1:pos:R:3 pbc="T T T"
Ga -4.167 -8.489 -0.976
Pr -3.984 -2.285 -1.852
Pd -0.827 -5.194 -5.039
Pr -3.624 -6.084 -3.038
Ga -5.859 -8.512 -3.035
Ga -2.042 -4.469 -0.634
Pr -3.264 -9.883 -4.225
Pd -2.224 -6.935 0.114
Pd -2.099 -0.019 -0.576
Ga -4.460 -5.399 -0.012
Ga -3.080 -3.679 -5.101
Ga -2.787 -6.769 -6.065
Ga -1.389 -3.655 -3.042
Ga -5.206 -7.699 -5.443
```

- SG: Immm (71)
- Formation energy from the elements: -9.92 eV per formula unit
- Size of the total moment: 0.000 Bohr magnetons per cell
- Polymorph energy (0 for the lowest one): 0 meV/atom

[10]
Pr3Ga6Pd20 | GGA-PBE | optimized geometry

The structure in extended XYZ format:
```
29
Lattice="-8.020 2.926 2.559 -7.197 -1.851 -4.919 -6.094 -5.764 3.012" Properties=species:S:1:pos:R:3 pbc="T T T"
Ga -8.572 -3.906 1.552
Pr -15.983 -3.517 0.488
Ga -12.235 -2.570 2.721
Ga -12.739 -0.783 -0.901
Pd -8.134 -1.790 0.249
Pd -7.352 -0.085 2.716
Ga -9.076 -2.119 -2.070
Pd -6.761 -2.752 2.855
Pd -3.982 -3.766 1.968
Pd -2.112 -1.997 1.044
Ga -9.452 0.063 1.346
Pd -2.779 1.014 0.887
Pd -9.771 -2.023 2.731
Ga -11.859 -4.752 -0.694
Pd -13.177 -2.899 0.403
Pd -2.494 -0.642 -1.705
Pd -11.018 -4.517 1.674
Pd -9.381 -4.284 -0.808
Pd -6.476 -4.408 0.263
Pd -11.929 -0.405 1.460
Pd -6.815 -3.207 -2.171
Pd -4.703 -1.210 -3.215
Pd -11.540 -2.666 -2.079
Pr 0.000 0.000 0.000
Pd -5.241 1.912 1.672
Pd -10.293 -0.171 -1.023
Pd -7.735 1.271 -0.032
Pr -5.328 -1.172 0.163
Pd -7.482 -0.196 -2.328
```

- SG: Fm-3m (225)
- Formation energy from the elements: -18.77 eV per formula unit
- Size of the total moment: 0.000 Bohr magnetons per cell

[11]
PrGa6Pd6 | GGA-PBE | optimized geometry

The structure in extended XYZ format:
```
13
Lattice="5.058 0.000 2.209 2.221 6.318 1.810 -0.018 -0.017 6.937" Properties=species:S:1:pos:R:3 pbc="T T T"
Ga 1.431 4.082 3.620
Pd 1.110 3.159 0.905
Pd -0.009 -0.009 3.468
Pd 4.210 4.790 4.150
Pr 0.000 0.000 0.000
Ga 0.772 2.219 5.127
Pd 3.051 1.510 6.805
Pd 2.520 -0.009 4.573
Ga 4.076 2.168 4.458
Ga 3.185 4.133 6.497
Pd 3.639 3.159 2.009
Ga 5.248 5.160 8.668
Ga 2.012 1.140 2.288
```

- SG: Immm (71)
- Formation energy from the elements: -8.11 eV per formula unit
- Size of the total moment: 0.000 Bohr magnetons per cell

[12]
Pr3Ga3Pd | GGA-PBE | optimized geometry

The structure in extended XYZ format:
```
14
Lattice="-2.592 -3.529 1.195 2.971 -4.020 3.194 -4.977 4.882 12.238" Properties=species:S:1:pos:R:3 pbc="T T T"
Pr -3.544 -0.115 9.214
Pr -3.514 -1.893 12.647
Pr -1.085 -0.774 3.980
Pr -1.055 -2.552 7.413
Pr -4.768 1.986 12.760
Ga -2.748 -3.364 9.965
Ga -1.167 -5.655 6.628
Pd -3.612 -1.135 6.053
Ga -2.273 0.631 14.171
Ga -3.432 2.988 9.999
Ga -2.326 -3.298 2.455
Pr 0.169 -4.653 3.867
Ga -1.851 0.697 6.662
Pd -0.987 -1.532 10.574
```

- SG: C2/m (12)
- Formation energy from the elements: -4.64 eV per formula unit
- Size of the total moment: 0.000 Bohr magnetons per cell

Ordered energy results: -4.8826, -4.6895, -5.1560, -5.6296, -5.4660, -4.8212, -5.1486, -3.7087, -4.5752, -5.3491, -4.7848, -4.7504; unit eV/atom.